# 1
## NaBi2MoO6 (PBE with a Hubbard U)

Data for crystalline NaBi2MoO6 at its relaxed geometry.

Calculated values
For the mass density, the calculation gives 7.11 g cm⁻³. For the magnetization, the calculation gives 1.00 μB per formula unit.

Cell lengths 5.8045, 5.8592, 5.9558 Å; angles 91.49, 117.70, 119.28 degrees
Sites, in units of the cell vectors:
Na  0.0000  0.0000  0.0000
Bi  0.5468  0.7703  0.3368
Bi  0.5651  0.2890  0.8388
Mo  0.9716  0.4801  0.4622
O  0.0361  0.7921  0.6462
O  0.0437  0.6596  0.1735
O  0.4249  0.5982  0.6475
O  0.5084  0.3743  0.1847
O  0.7991  0.1416  0.1819
O  0.8455  0.2223  0.6607



# 2
## Na2BiMoO6 (PBE with a Hubbard U)

Data for crystalline Na2BiMoO6 at its relaxed geometry.

Calculated values
The density of states at the Fermi level is 2.607 states/eV/cell. For the mass density, the calculation gives 5.53 g cm⁻³. For the magnetization, the calculation gives 0.00 μB per formula unit.

Cell lengths 5.7966, 5.7966, 5.7966 Å; angles 58.85, 58.85, 58.85 degrees
Sites, in units of the cell vectors:
Na  0.0000  0.0000  0.0000
Na  0.4966  0.4966  0.4966
Bi  0.7307  0.7307  0.7307
Mo  0.2265  0.2265  0.2265
O  0.0878  0.8906  0.4364
O  0.3561  0.5435  0.9858
O  0.4364  0.0878  0.8906
O  0.5435  0.9858  0.3561
O  0.8906  0.4364  0.0878
O  0.9858  0.3561  0.5435



# 3
## Na2BiMoO4 (PBE with a Hubbard U)

Data for crystalline Na2BiMoO4 at its relaxed geometry.

Calculated values
For the mass density, the calculation gives 6.15 g cm⁻³. For the magnetization, the calculation gives 3.00 μB per formula unit.

Cell lengths 5.8804, 3.4029, 5.9302 Å; angles 90.00, 109.33, 90.00 degrees
Sites, in units of the cell vectors:
Na  0.0000  0.0000  0.0000
Na  0.5000  0.5000  0.0000
Bi  0.0000  0.5000  0.5000
Mo  0.5000  0.0000  0.5000
O  0.2635  0.0000  0.7263
O  0.2839  0.5000  0.2894
O  0.7161  0.5000  0.7106
O  0.7365  0.0000  0.2737



| no. | DFT total energy (eV/atom) |
| --- | --- |
| 1 | -6.06 |
| 2 | -5.80 |
| 3 | -5.65 |